Below is a crystal of Hg2TeO5 relaxed with PBEsol, with properties calculated at the SCAN level.

## Properties
Raw formation energy (eV per atom): -0.70
M_tot (μB per formula unit): 0.00
VASP energy (eV for the cell shown): -841.495

Unit cell a=7.386 b=5.913 c=9.982 alpha=90.00 beta=90.00 gamma=90.00
Atoms (fractional coordinates):
Hg  0.021  0.226  0.000
Hg  0.231  0.227  0.337
Hg  0.269  0.727  0.837
Hg  0.479  0.726  0.500
Hg  0.521  0.274  0.000
Hg  0.731  0.273  0.337
Hg  0.769  0.773  0.837
Hg  0.979  0.774  0.500
Te  0.134  0.740  0.167
Te  0.366  0.240  0.667
Te  0.634  0.760  0.167
Te  0.866  0.260  0.667
O  0.053  0.042  0.218
O  0.088  0.839  0.982
O  0.119  0.376  0.667
O  0.166  0.649  0.351
O  0.216  0.451  0.105
O  0.284  0.951  0.605
O  0.334  0.149  0.851
O  0.381  0.876  0.167
O  0.412  0.339  0.482
O  0.447  0.542  0.718
O  0.553  0.458  0.218
O  0.588  0.661  0.982
O  0.619  0.124  0.667
O  0.666  0.851  0.351
O  0.716  0.049  0.105
O  0.784  0.549  0.605
O  0.834  0.351  0.851
O  0.881  0.624  0.167
O  0.912  0.161  0.482
O  0.947  0.958  0.718